--- w ---
Density functional theory data (SCAN) for a crystal of NaCa2Zn2 relaxed with PBEsol.

magnetic moment	0.0	μB per formula unit
symmetry	No. 127

Unit cell a=7.953 b=7.953 c=4.185 alpha=90.00 beta=90.00 gamma=90.00
Atoms (fractional coordinates):
Na: 0.000 0.000 0.000
Na: 0.500 0.500 0.000
Ca: 0.171 0.329 0.500
Ca: 0.329 0.829 0.500
Ca: 0.671 0.171 0.500
Ca: 0.829 0.671 0.500
Zn: 0.116 0.616 0.000
Zn: 0.384 0.116 0.000
Zn: 0.616 0.884 0.000
Zn: 0.884 0.384 0.000

=====

--- x ---
Density functional theory data (SCAN) for a crystal of NaCa2Zn2 relaxed with PBEsol.

magnetic moment	0.1	μB per formula unit
symmetry	No. 139

Unit cell a=10.875 b=10.875 c=10.875 alpha=160.31 beta=160.31 gamma=27.98
Atoms (fractional coordinates):
Na: 0.000 0.000 0.000
Ca: 0.369 0.369 0.000
Ca: 0.631 0.631 0.000
Zn: 0.250 0.750 0.500
Zn: 0.750 0.250 0.500

=====

The structure with the least stability is x.

=====

--- w ---
Density functional theory data (SCAN) for a crystal of CaNbTe2 relaxed with PBEsol.

magnetic moment	3.0	μB per formula unit
symmetry	No. 122

Unit cell a=8.411 b=8.411 c=8.411 alpha=135.11 beta=135.11 gamma=65.36
Atoms (fractional coordinates):
Ca: 0.000 0.000 0.000
Ca: 0.750 0.250 0.500
Nb: 0.250 0.750 0.500
Nb: 0.500 0.500 0.000
Te: 0.167 0.625 0.042
Te: 0.375 0.417 0.542
Te: 0.583 0.125 0.958
Te: 0.875 0.833 0.458

=====

--- x ---
Density functional theory data (SCAN) for a crystal of CaNbTe2 relaxed with PBEsol.

magnetic moment	0.0	μB per formula unit
symmetry	No. 166

Unit cell a=10.103 b=10.103 c=10.103 alpha=21.04 beta=21.04 gamma=21.04
Atoms (fractional coordinates):
Ca: 0.000 0.000 0.000
Nb: 0.500 0.500 0.500
Te: 0.105 0.105 0.105
Te: 0.895 0.895 0.895

=====

The structure with the least stability is x.

=====

--- w ---
Density functional theory data (SCAN) for a crystal of CaNi2Os relaxed with PBEsol.

magnetic moment	2.6	μB per formula unit
symmetry	No. 119

Unit cell a=4.907 b=4.907 c=4.907 alpha=135.28 beta=135.28 gamma=65.10
Atoms (fractional coordinates):
Ca: 0.000 0.000 0.000
Ni: 0.500 0.500 0.000
Ni: 0.750 0.250 0.500
Os: 0.250 0.750 0.500

=====

--- x ---
Density functional theory data (SCAN) for a crystal of CaNi2Os relaxed with PBEsol.

magnetic moment	0.0	μB per formula unit
symmetry	No. 12

Unit cell a=4.330 b=4.330 c=5.680 alpha=96.60 beta=96.60 gamma=35.92
Atoms (fractional coordinates):
Ca: 0.000 0.000 0.000
Ni: 0.241 0.241 0.673
Ni: 0.759 0.759 0.327
Os: 0.500 0.500 0.500

=====

The structure with the least stability is w.

=====

--- w ---
Density functional theory data (SCAN) for a crystal of CaNiOs2 relaxed with PBEsol.

magnetic moment	0.0	μB per formula unit
symmetry	No. 25

Unit cell a=2.768 b=3.672 c=6.383 alpha=90.00 beta=90.00 gamma=90.00
Atoms (fractional coordinates):
Ca: 0.000 0.000 0.000
Ni: 0.500 0.500 0.280
Os: 0.000 0.000 0.491
Os: 0.500 0.500 0.668

=====

--- x ---
Density functional theory data (SCAN) for a crystal of CaNiOs2 relaxed with PBEsol.

magnetic moment	0.0	μB per formula unit
symmetry	No. 44

Unit cell a=5.424 b=5.424 c=5.424 alpha=149.76 beta=129.04 gamma=60.41
Atoms (fractional coordinates):
Ca: 0.000 0.000 0.000
Ni: 0.269 0.769 0.500
Os: 0.492 0.492 0.000
Os: 0.717 0.217 0.500

=====

The structure with the least stability is x.

=====

--- w ---
Density functional theory data (SCAN) for a crystal of CaNiOs relaxed with PBEsol.

magnetic moment	0.0	μB per formula unit
symmetry	No. 44

Unit cell a=5.532 b=5.532 c=5.532 alpha=152.25 beta=139.32 gamma=49.96
Atoms (fractional coordinates):
Ca: 0.000 0.000 0.000
Ni: 0.717 0.717 0.000
Os: 0.290 0.290 0.000

=====

--- x ---
Density functional theory data (SCAN) for a crystal of CaNiOs relaxed with PBEsol.

magnetic moment	0.0	μB per formula unit
symmetry	No. 187

Unit cell a=4.532 b=4.532 c=2.664 alpha=90.00 beta=90.00 gamma=120.00
Atoms (fractional coordinates):
Ca: 0.000 0.000 0.000
Ni: 0.333 0.667 0.500
Os: 0.667 0.333 0.500

=====

The structure with the least stability is x.

=====

--- w ---
Density functional theory data (SCAN) for a crystal of CaSc2Ni relaxed with PBEsol.

magnetic moment	0.0	μB per formula unit
symmetry	No. 119

Unit cell a=5.652 b=5.652 c=5.652 alpha=136.99 beta=136.99 gamma=62.45
Atoms (fractional coordinates):
Ca: 0.000 0.000 0.000
Sc: 0.250 0.750 0.500
Sc: 0.500 0.500 0.000
Ni: 0.750 0.250 0.500

=====

--- x ---
Density functional theory data (SCAN) for a crystal of CaSc2Ni relaxed with PBEsol.

magnetic moment	0.0	μB per formula unit
symmetry	No. 71

Unit cell a=6.009 b=6.009 c=6.009 alpha=148.31 beta=128.62 gamma=61.63
Atoms (fractional coordinates):
Ca: 0.000 0.000 0.000
Sc: 0.308 0.808 0.500
Sc: 0.692 0.192 0.500
Ni: 0.500 0.500 0.000

=====

--- y ---
Density functional theory data (SCAN) for a crystal of CaSc2Ni relaxed with PBEsol.

magnetic moment	0.8	μB per formula unit
symmetry	No. 44

Unit cell a=6.039 b=6.039 c=6.039 alpha=147.74 beta=131.83 gamma=59.17
Atoms (fractional coordinates):
Ca: 0.000 0.000 0.000
Sc: 0.387 0.387 0.000
Sc: 0.699 0.199 0.500
Ni: 0.215 0.715 0.500

=====

--- z ---
Density functional theory data (SCAN) for a crystal of CaSc2Ni relaxed with PBEsol.

magnetic moment	0.0	μB per formula unit
symmetry	No. 47

Unit cell a=3.705 b=4.723 c=4.752 alpha=90.00 beta=90.00 gamma=90.00
Atoms (fractional coordinates):
Ca: 0.000 0.000 0.000
Sc: 0.000 0.500 0.500
Sc: 0.500 0.000 0.500
Ni: 0.500 0.500 0.000

=====

The structure with the least stability is w.

=====

--- w ---
Density functional theory data (SCAN) for a crystal of SrCa2Ni relaxed with PBEsol.

magnetic moment	0.0	μB per formula unit
symmetry	No. 225

Unit cell a=5.399 b=5.399 c=5.399 alpha=60.00 beta=60.00 gamma=60.00
Atoms (fractional coordinates):
Sr: 0.000 0.000 0.000
Ca: 0.250 0.250 0.250
Ca: 0.750 0.750 0.750
Ni: 0.500 0.500 0.500

=====

--- x ---
Density functional theory data (SCAN) for a crystal of SrCa2Ni relaxed with PBEsol.

magnetic moment	0.1	μB per formula unit
symmetry	No. 99

Unit cell a=3.591 b=3.591 c=9.609 alpha=90.00 beta=90.00 gamma=90.00
Atoms (fractional coordinates):
Sr: 0.000 0.000 0.000
Ca: 0.000 0.000 0.653
Ca: 0.500 0.500 0.341
Ni: 0.500 0.500 0.812

=====

--- y ---
Density functional theory data (SCAN) for a crystal of SrCa2Ni relaxed with PBEsol.

magnetic moment	0.0	μB per formula unit
symmetry	No. 123

Unit cell a=3.558 b=3.558 c=9.727 alpha=90.00 beta=90.00 gamma=90.00
Atoms (fractional coordinates):
Sr: 0.000 0.000 0.000
Ca: 0.500 0.500 0.335
Ca: 0.500 0.500 0.665
Ni: 0.000 0.000 0.500

=====

The structure with the least stability is w.

=====

--- w ---
Density functional theory data (SCAN) for a crystal of Ca2TcNi relaxed with PBEsol.

magnetic moment	0.0	μB per formula unit
symmetry	No. 47

Unit cell a=2.869 b=3.071 c=8.421 alpha=90.00 beta=90.00 gamma=90.00
Atoms (fractional coordinates):
Ca: 0.000 0.000 0.229
Ca: 0.000 0.000 0.771
Tc: 0.500 0.500 0.500
Ni: 0.500 0.500 0.000

=====

--- x ---
Density functional theory data (SCAN) for a crystal of Ca2TcNi relaxed with PBEsol.

magnetic moment	2.7	μB per formula unit
symmetry	No. 216

Unit cell a=4.733 b=4.733 c=4.733 alpha=60.00 beta=60.00 gamma=60.00
Atoms (fractional coordinates):
Ca: 0.000 0.000 0.000
Ca: 0.250 0.250 0.250
Tc: 0.750 0.750 0.750
Ni: 0.500 0.500 0.500

=====

The structure with the least stability is x.

=====

--- w ---
Density functional theory data (SCAN) for a crystal of CaTcNi2 relaxed with PBEsol.

magnetic moment	0.4	μB per formula unit
symmetry	No. 99

Unit cell a=2.731 b=2.731 c=7.679 alpha=90.00 beta=90.00 gamma=90.00
Atoms (fractional coordinates):
Ca: 0.000 0.000 0.000
Tc: 0.500 0.500 0.679
Ni: 0.000 0.000 0.469
Ni: 0.500 0.500 0.281

=====

--- x ---
Density functional theory data (SCAN) for a crystal of CaTcNi2 relaxed with PBEsol.

magnetic moment	1.3	μB per formula unit
symmetry	No. 216

Unit cell a=4.300 b=4.300 c=4.300 alpha=60.00 beta=60.00 gamma=60.00
Atoms (fractional coordinates):
Ca: 0.000 0.000 0.000
Tc: 0.250 0.250 0.250
Ni: 0.500 0.500 0.500
Ni: 0.750 0.750 0.750

=====

The structure with the least stability is x.

=====

--- w ---
Density functional theory data (SCAN) for a crystal of CaTc2Ni relaxed with PBEsol.

magnetic moment	1.3	μB per formula unit
symmetry	No. 99

Unit cell a=3.052 b=3.052 c=7.034 alpha=90.00 beta=90.00 gamma=90.00
Atoms (fractional coordinates):
Ca: 0.000 0.000 0.000
Tc: 0.000 0.000 0.491
Tc: 0.500 0.500 0.674
Ni: 0.500 0.500 0.289

=====

--- x ---
Density functional theory data (SCAN) for a crystal of CaTc2Ni relaxed with PBEsol.

magnetic moment	0.0	μB per formula unit
symmetry	No. 166

Unit cell a=9.535 b=9.535 c=9.535 alpha=16.35 beta=16.35 gamma=16.35
Atoms (fractional coordinates):
Ca: 0.000 0.000 0.000
Tc: 0.239 0.239 0.239
Tc: 0.761 0.761 0.761
Ni: 0.500 0.500 0.500

=====

--- y ---
Density functional theory data (SCAN) for a crystal of CaTc2Ni relaxed with PBEsol.

magnetic moment	0.0	μB per formula unit
symmetry	No. 123

Unit cell a=2.622 b=2.622 c=8.681 alpha=90.00 beta=90.00 gamma=90.00
Atoms (fractional coordinates):
Ca: 0.000 0.000 0.000
Tc: 0.500 0.500 0.292
Tc: 0.500 0.500 0.708
Ni: 0.000 0.000 0.500

=====

The structure with the least stability is x.

=====

--- w ---
Density functional theory data (SCAN) for a crystal of SrCaP2O relaxed with PBEsol.

magnetic moment	2.1	μB per formula unit
symmetry	No. 123

Unit cell a=5.376 b=5.376 c=4.439 alpha=90.00 beta=90.00 gamma=90.00
Atoms (fractional coordinates):
Sr: 0.000 0.000 0.000
Ca: 0.500 0.500 0.500
P: 0.000 0.500 0.000
P: 0.500 0.000 0.000
O: 0.000 0.000 0.500

=====

--- x ---
Density functional theory data (SCAN) for a crystal of SrCaP2O relaxed with PBEsol.

magnetic moment	2.2	μB per formula unit
symmetry	No. 123

Unit cell a=5.233 b=5.233 c=4.316 alpha=90.00 beta=90.00 gamma=90.00
Atoms (fractional coordinates):
Sr: 0.000 0.000 0.000
Ca: 0.500 0.500 0.500
P: 0.000 0.500 0.500
P: 0.500 0.000 0.500
O: 0.500 0.500 0.000

=====

The structure with the least stability is w.

=====

--- w ---
Density functional theory data (SCAN) for a crystal of CaTiP2O relaxed with PBEsol.

magnetic moment	0.4	μB per formula unit
symmetry	No. 123

Unit cell a=4.976 b=4.976 c=4.005 alpha=90.00 beta=90.00 gamma=90.00
Atoms (fractional coordinates):
Ca: 0.000 0.000 0.000
Ti: 0.500 0.500 0.500
P: 0.000 0.500 0.000
P: 0.500 0.000 0.000
O: 0.000 0.000 0.500

=====

--- x ---
Density functional theory data (SCAN) for a crystal of CaTiP2O relaxed with PBEsol.

magnetic moment	0.0	μB per formula unit
symmetry	No. 123

Unit cell a=4.883 b=4.883 c=3.744 alpha=90.00 beta=90.00 gamma=90.00
Atoms (fractional coordinates):
Ca: 0.000 0.000 0.000
Ti: 0.500 0.500 0.500
P: 0.000 0.500 0.500
P: 0.500 0.000 0.500
O: 0.500 0.500 0.000

=====

The structure with the least stability is w.